1.
Entry from Alexandria via LeMat-Bulk: a geometry-optimized TcHg2As structure (PBE-GGA).

```
data_TcHg2As
_symmetry_space_group_name_H-M 'F -4 3 m'
_symmetry_Int_Tables_number 216
_symmetry_space_group_name_Hall 'F -4 2 3'
_cell_length_a 6.7709
_cell_length_b 6.7709
_cell_length_c 6.7709
_cell_angle_alpha 90.00
_cell_angle_beta 90.00
_cell_angle_gamma 90.00
loop_
_atom_site_label
_atom_site_type_symbol
_atom_site_fract_x
_atom_site_fract_y
_atom_site_fract_z
Tc1 Tc 0.0000 0.0000 0.0000
Hg1 Hg 0.0000 0.0000 0.5000
Hg2 Hg 0.2500 0.2500 0.2500
As1 As 0.2500 0.2500 0.7500
```

---

2.
Entry from Alexandria via LeMat-Bulk: a geometry-optimized PrErAl3 structure (PBE-GGA).

```
data_PrErAl3
_symmetry_space_group_name_H-M 'C m c m'
_symmetry_Int_Tables_number 63
_symmetry_space_group_name_Hall '-C 2c 2'
_cell_length_a 3.7047
_cell_length_b 27.6840
_cell_length_c 4.5697
_cell_angle_alpha 90.00
_cell_angle_beta 90.00
_cell_angle_gamma 90.00
loop_
_atom_site_label
_atom_site_type_symbol
_atom_site_fract_x
_atom_site_fract_y
_atom_site_fract_z
Pr1 Pr 0.0000 0.0734 0.2500
Er1 Er 0.0000 0.2113 0.7500
Al1 Al 0.0000 0.3254 0.7500
Al2 Al 0.0000 0.3784 0.2500
Al3 Al 0.0000 0.4756 0.2500
```

---

no.,total energy (eV/atom),energy relative to the elements (eV per atom)
1,-3.18,0.7199
2,-4.55,-0.4327